Entry 1:
SrCa2Ta: relaxed, PBE.

Unit cell a=3.5075 b=3.5075 c=36.5235 alpha=90.00 beta=90.00 gamma=120.00
Space group R3m (No. 160, hexagonal axes)
One atom of each set of equivalent atoms:
Sr 0.0000 0.0000 0.0000
Ca 0.0000 0.0000 0.2358
Ca 0.0000 0.0000 0.4763
Ta 0.0000 0.0000 0.7399

Values from the calculation:
Calculated formation energy: 0.67 eV per atom
Volume: 389 Å³/cell


Entry 2:
BeCuPS2: relaxed, PBE.

Unit cell a=4.610 b=4.610 c=4.296 alpha=90.00 beta=90.00 gamma=90.00
Space group P4/mmm (No. 123)
One atom of each set of equivalent atoms:
Be 0.000 0.000 0.000
Cu 0.500 0.500 0.500
P 0.500 0.500 0.000
S 0.000 0.500 0.500

Values from the calculation:
Uncorrected formation energy: 1044.0 meV per atom
Volume: 91 Å³/cell


Entry 3:
V2Sn2Ru: relaxed, PBE.

Unit cell a=3.972 b=3.972 c=12.010 alpha=90.00 beta=90.00 gamma=90.00
Space group I4/mmm (No. 139)
One atom of each set of equivalent atoms:
V 0.000 0.000 0.080
Sn 0.000 0.500 0.250
Ru 0.000 0.000 0.500

Values from the calculation:
Calculated formation energy: 0.77 eV per atom
Volume: 190 Å³/cell


Entry 4:
NaInGe2Se6: relaxed, PBE.

Unit cell a=13.740 b=12.862 c=7.277 alpha=90.00 beta=112.71 gamma=90.00
Space group C2/c (No. 15)
One atom of each set of equivalent atoms:
Na 0.000 0.138 0.250
In 0.000 0.212 0.750
Ge 0.202 0.426 0.204
Se 0.110 0.062 0.652
Se 0.127 0.440 0.460
Se 0.142 0.252 0.104

Values from the calculation:
Uncorrected formation energy: -403.6 meV per atom
Volume: 1186 Å³/cell


Entry 5:
PuNbGe2Ru: relaxed, PBE.

Unit cell a=4.040 b=4.040 c=11.563 alpha=90.00 beta=90.00 gamma=90.00
Space group I-4m2 (No. 119)
One atom of each set of equivalent atoms:
Pu 0.000 0.000 0.000
Nb 0.000 0.500 0.250
Ge 0.000 0.000 0.391
Ru 0.000 0.500 0.750

Values from the calculation:
Calculated formation energy: -0.41 eV per atom
Volume: 189 Å³/cell


Entry 6:
KLiF3: relaxed, PBE.

Unit cell a=3.727 b=6.156 c=6.484 alpha=97.32 beta=90.54 gamma=104.44
Space group P1 (No. 1)
One atom of each set of equivalent atoms:
K 0.000 0.000 0.000
K 0.096 0.317 0.576
Li 0.395 0.848 0.375
Li 0.650 0.413 0.119
F 0.211 0.551 0.193
F 0.390 0.661 0.900
F 0.532 0.153 0.288
F 0.592 0.241 0.854
F 0.601 0.735 0.680
F 0.892 0.847 0.442

Values from the calculation:
Uncorrected formation energy: -2261.2 meV per atom
Volume: 143 Å³/cell


Entry 7:
MgRuRh2: relaxed, PBE.

Unit cell a=2.7939 b=2.7939 c=26.1701 alpha=90.00 beta=90.00 gamma=120.00
Space group R-3m (No. 166, hexagonal axes)
One atom of each set of equivalent atoms:
Mg 0.0000 0.0000 0.0000
Ru 0.0000 0.0000 0.5000
Rh 0.0000 0.0000 0.2481

Values from the calculation:
Calculated formation energy: -0.04 eV per atom
Volume: 177 Å³/cell


Entry 8:
Sm2ErTmTe5: relaxed, PBE.

Unit cell a=5.490 b=5.490 c=11.462 alpha=90.00 beta=90.00 gamma=90.00
Space group P4/mmm (No. 123)
One atom of each set of equivalent atoms:
Sm 0.000 0.000 0.160
Er 0.500 0.500 0.500
Tm 0.500 0.500 0.000
Te 0.000 0.000 0.500
Te 0.000 0.500 0.000
Te 0.500 0.500 0.254

Values from the calculation:
Uncorrected formation energy: -749.9 meV per atom
Volume: 345 Å³/cell


Entry 9:
Sr2PmAu: relaxed, PBE.

Unit cell a=3.784 b=3.784 c=9.967 alpha=90.00 beta=90.00 gamma=90.00
Space group P4/mmm (No. 123)
One atom of each set of equivalent atoms:
Sr 0.000 0.000 0.193
Pm 0.500 0.500 0.500
Au 0.500 0.500 0.000

Values from the calculation:
Calculated formation energy: -0.26 eV per atom
Volume: 143 Å³/cell


Entry 10:
BaCo2Os: relaxed, PBE.

Unit cell a=4.1557 b=4.1557 c=17.0169 alpha=90.00 beta=90.00 gamma=120.00
Space group R-3m (No. 166, hexagonal axes)
One atom of each set of equivalent atoms:
Ba 0.0000 0.0000 0.0000
Co 0.0000 0.0000 0.1841
Os 0.0000 0.0000 0.5000

Values from the calculation:
Calculated formation energy: 0.30 eV per atom
Volume: 255 Å³/cell


Entry 11:
ZrH3Pb: relaxed, PBE.

Unit cell a=4.058 b=4.058 c=4.058 alpha=90.00 beta=90.00 gamma=90.00
Space group Pm-3m (No. 221)
One atom of each set of equivalent atoms:
Zr 0.000 0.000 0.000
H 0.000 0.500 0.500
Pb 0.500 0.500 0.500

Values from the calculation:
Volume: 67 Å³/cell


Entry 12:
Cs3NdSb2O8: relaxed, PBE.

Unit cell a=6.4523 b=6.4523 c=8.6150 alpha=90.00 beta=90.00 gamma=120.00
Space group P-3m1 (No. 164)
One atom of each set of equivalent atoms:
Cs 0.0000 0.0000 0.0000
Cs 0.3333 0.6667 0.7152
Nd 0.0000 0.0000 0.5000
Sb 0.3333 0.6667 0.2603
O 0.1730 0.3459 0.3406
O 0.3333 0.6667 0.0428

Values from the calculation:
Uncorrected formation energy: -1857.0 meV per atom
Volume: 311 Å³/cell


Entry 13:
La3CuAg2: relaxed, PBE.

Unit cell a=3.745 b=3.745 c=11.484 alpha=90.00 beta=90.00 gamma=90.00
Space group P4/mmm (No. 123)
One atom of each set of equivalent atoms:
La 0.000 0.000 0.000
La 0.000 0.000 0.346
Cu 0.500 0.500 0.500
Ag 0.500 0.500 0.172

Values from the calculation:
Calculated formation energy: -0.22 eV per atom
Volume: 161 Å³/cell


Entry 14:
Na6TlAu: relaxed, PBE.

Unit cell a=5.339 b=9.286 c=9.269 alpha=90.00 beta=90.00 gamma=90.00
Space group Amm2 (No. 38)
One atom of each set of equivalent atoms:
Na 0.000 0.000 0.000
Na 0.000 0.181 0.710
Na 0.500 0.000 0.175
Na 0.500 0.195 0.474
Tl 0.000 0.000 0.381
Au 0.500 0.000 0.825

Values from the calculation:
Calculated formation energy: -0.12 eV per atom
Volume: 460 Å³/cell


Entry 15:
Dy5Co2Cu: relaxed, PBE.

Unit cell a=7.503 b=7.503 c=12.912 alpha=90.00 beta=90.00 gamma=90.00
Space group I4/mcm (No. 140)
One atom of each set of equivalent atoms:
Dy 0.000 0.000 0.000
Dy 0.163 0.337 0.137
Co 0.132 0.368 0.500
Cu 0.000 0.000 0.250

Values from the calculation:
Calculated formation energy: -0.18 eV per atom
Volume: 727 Å³/cell


Entry 16:
NiSbHRh2: relaxed, PBE.

Unit cell a=4.026 b=4.026 c=3.792 alpha=90.00 beta=90.00 gamma=90.00
Space group P4/mmm (No. 123)
One atom of each set of equivalent atoms:
Ni 0.000 0.000 0.000
Sb 0.500 0.500 0.000
H 0.000 0.000 0.500
Rh 0.000 0.500 0.500

Values from the calculation:
Volume: 61 Å³/cell


Entry 17:
TbHoAu2O8: relaxed, PBE.

Unit cell a=5.315 b=5.315 c=10.546 alpha=90.00 beta=90.00 gamma=90.00
Space group I-4m2 (No. 119)
One atom of each set of equivalent atoms:
Tb 0.000 0.000 0.000
Ho 0.000 0.500 0.750
Au 0.000 0.000 0.500
Au 0.000 0.500 0.250
O 0.233 0.248 0.374

Values from the calculation:
Uncorrected formation energy: -1108.7 meV per atom
Volume: 298 Å³/cell


Entry 18:
TiS3Cl: relaxed, PBE.

Unit cell a=4.554 b=4.554 c=4.554 alpha=90.00 beta=90.00 gamma=90.00
Space group Pm-3m (No. 221)
One atom of each set of equivalent atoms:
Ti 0.000 0.000 0.000
S 0.000 0.500 0.500
Cl 0.500 0.500 0.500

Values from the calculation:
Uncorrected formation energy: 838.0 meV per atom
Volume: 94 Å³/cell


Entry 19:
LiTaW2: relaxed, PBE.

Unit cell a=2.7975 b=2.7975 c=30.0768 alpha=90.00 beta=90.00 gamma=120.00
Space group R-3m (No. 166, hexagonal axes)
One atom of each set of equivalent atoms:
Li 0.0000 0.0000 0.0000
Ta 0.0000 0.0000 0.5000
W 0.0000 0.0000 0.2505

Values from the calculation:
Calculated formation energy: 0.47 eV per atom
Volume: 204 Å³/cell


Entry 20:
Ca2OsPt: relaxed, PBE.

Unit cell a=3.149 b=3.149 c=8.148 alpha=90.00 beta=90.00 gamma=90.00
Space group P4/mmm (No. 123)
One atom of each set of equivalent atoms:
Ca 0.000 0.000 0.248
Os 0.500 0.500 0.500
Pt 0.500 0.500 0.000

Values from the calculation:
Calculated formation energy: 0.04 eV per atom
Volume: 81 Å³/cell


Entry 21:
MnVCd3: relaxed, PBE.

Unit cell a=5.232 b=5.232 c=5.232 alpha=90.00 beta=90.00 gamma=90.00
Space group Pm-3m (No. 221)
One atom of each set of equivalent atoms:
Mn 0.000 0.000 0.000
V 0.500 0.500 0.500
Cd 0.000 0.500 0.500

Values from the calculation:
Calculated formation energy: 1.12 eV per atom
Volume: 143 Å³/cell


Entry 22:
TaNbS3: relaxed, PBE.

Unit cell a=3.304 b=20.278 c=5.737 alpha=90.00 beta=90.00 gamma=90.00
Space group Ama2 (No. 40)
One atom of each set of equivalent atoms:
Ta 0.250 0.165 0.000
Nb 0.250 0.333 0.983
S 0.250 0.088 0.324
S 0.250 0.250 0.658
S 0.250 0.410 0.326

Values from the calculation:
Uncorrected formation energy: -997.2 meV per atom
Volume: 384 Å³/cell


Entry 23:
Ti3BeAu: relaxed, PBE.

Unit cell a=4.353 b=4.353 c=4.353 alpha=90.00 beta=90.00 gamma=90.00
Space group Pm-3m (No. 221)
One atom of each set of equivalent atoms:
Ti 0.000 0.000 0.500
Be 0.000 0.000 0.000
Au 0.500 0.500 0.500

Values from the calculation:
Calculated formation energy: 0.21 eV per atom
Volume: 82 Å³/cell


Entry 24:
Ba3NdIn4: relaxed, PBE.

Unit cell a=4.143 b=4.143 c=16.968 alpha=90.00 beta=90.00 gamma=90.00
Space group P4/mmm (No. 123)
One atom of each set of equivalent atoms:
Ba 0.000 0.000 0.000
Ba 0.000 0.000 0.261
Nd 0.000 0.000 0.500
In 0.500 0.500 0.128
In 0.500 0.500 0.400

Values from the calculation:
Calculated formation energy: -0.40 eV per atom
Volume: 291 Å³/cell


Entry 25:
NbSnOF2: relaxed, PBE.

Unit cell a=4.452 b=4.452 c=4.301 alpha=90.00 beta=90.00 gamma=90.00
Space group P4/mmm (No. 123)
One atom of each set of equivalent atoms:
Nb 0.000 0.000 0.000
Sn 0.500 0.500 0.500
O 0.500 0.500 0.000
F 0.000 0.500 0.500

Values from the calculation:
Uncorrected formation energy: -694.2 meV per atom
Volume: 85 Å³/cell


Entry 26:
Sb2MoW: relaxed, PBE.

Unit cell a=9.669 b=3.309 c=5.033 alpha=90.00 beta=109.43 gamma=90.00
Space group Cm (No. 8)
One atom of each set of equivalent atoms:
Sb 0.000 0.000 0.000
Sb 0.222 0.000 0.644
Mo 0.472 0.000 0.500
W 0.251 0.500 0.147

Values from the calculation:
Uncorrected formation energy: 356.9 meV per atom
Volume: 152 Å³/cell


The records above give, respectively, VASP energy values of -3.713 -3.253 -6.333 -3.823 -8.988 -3.986 -6.436 -4.548 -3.105 -6.542 -3.560 -5.803 -4.314 -1.815 -5.348 -5.824 -5.728 -3.587 -9.446 -5.280 -3.082 -7.858 -5.927 -3.089 -5.249 -7.650 eV/atom.